No. 1
This record from Alexandria via LeMat-Bulk describes a relaxed RbZnAu3 crystal. The functional is PBE.

Structure (CIF):
```
data_RbZnAu3
_chemical_formula_sum 'Rb1 Zn1 Au3'
_symmetry_space_group_name_H-M 'P m -3 m'
_symmetry_Int_Tables_number 221
_symmetry_space_group_name_Hall '-P 4 2 3'
_cell_length_a 6.1636
_cell_length_b 6.1636
_cell_length_c 6.1636
_cell_angle_alpha 90.00
_cell_angle_beta 90.00
_cell_angle_gamma 90.00
loop_
_atom_site_label
_atom_site_type_symbol
_atom_site_fract_x
_atom_site_fract_y
_atom_site_fract_z
Rb1 Rb 0.0000 0.0000 0.0000
Zn1 Zn 0.5000 0.5000 0.5000
Au1 Au 0.0000 0.0000 0.5000
```

- N(E_F): 5.60 states/eV/f.u.
- Energy above the most stable polymorph in this dataset: 1426 meV per atom
- Total DFT energy (no corrections): -1.177 eV/atom
- Formation enthalpy at 0 K: 6.2 eV/f.u.
- Total magnetization: 1.69 μB per formula unit


No. 2
This record from Alexandria via LeMat-Bulk describes a relaxed Rb2ZnAu2 crystal. The functional is PBE.

Structure (CIF):
```
data_Rb2ZnAu2
_chemical_formula_sum 'Rb4 Zn2 Au4'
_symmetry_space_group_name_H-M 'P 4/m b m'
_symmetry_Int_Tables_number 127
_symmetry_space_group_name_Hall '-P 4 2ab'
_cell_length_a 7.4236
_cell_length_b 7.4236
_cell_length_c 5.4432
_cell_angle_alpha 90.00
_cell_angle_beta 90.00
_cell_angle_gamma 90.00
loop_
_atom_site_label
_atom_site_type_symbol
_atom_site_fract_x
_atom_site_fract_y
_atom_site_fract_z
Rb1 Rb 0.1721 0.3279 0.0000
Zn1 Zn 0.0000 0.0000 0.5000
Au1 Au 0.1388 0.6388 0.5000
```

- N(E_F): 1.44 states/eV/f.u.
- Energy above the most stable polymorph in this dataset: 107 meV per atom
- Total DFT energy (no corrections): -2.066 eV/atom
- Formation enthalpy at 0 K: -0.6 eV/f.u.
- Total magnetization: 0.00 μB per formula unit


No. 3
This record from Alexandria via LeMat-Bulk describes a relaxed Rb2Zn2Au crystal. The functional is PBE.

Structure (CIF):
```
data_Rb2Zn2Au
_chemical_formula_sum 'Rb8 Zn8 Au4'
_symmetry_space_group_name_H-M 'I 41/a m d'
_symmetry_Int_Tables_number 141
_cell_length_a 4.8559
_cell_length_b 4.8559
_cell_length_c 39.1866
_cell_angle_alpha 90.00
_cell_angle_beta 90.00
_cell_angle_gamma 90.00
loop_
_symmetry_equiv_pos_as_xyz
'x,y,z'
'-x,-y,-z'
'-y+1/4,x+3/4,z+1/4'
'y+1/4,-x+3/4,-z+1/4'
'-x+1/2,-y,z+1/2'
'x+1/2,y,-z+1/2'
'y+1/4,-x+1/4,z+3/4'
'-y+1/4,x+1/4,-z+3/4'
'x,-y,-z'
'-x,y,z'
'-y+1/4,-x+1/4,-z+3/4'
'y+1/4,x+1/4,z+3/4'
'-x+1/2,y,-z+1/2'
'x+1/2,-y,z+1/2'
'y+1/4,x+3/4,-z+1/4'
'-y+1/4,-x+3/4,z+1/4'
'x+1/2,y+1/2,z+1/2'
'-x+1/2,-y+1/2,-z+1/2'
'-y+3/4,x+1/4,z+3/4'
'y+3/4,-x+1/4,-z+3/4'
'-x,-y+1/2,z'
'x,y+1/2,-z'
'y+3/4,-x+3/4,z+1/4'
'-y+3/4,x+3/4,-z+1/4'
'x+1/2,-y+1/2,-z+1/2'
'-x+1/2,y+1/2,z+1/2'
'-y+3/4,-x+3/4,-z+1/4'
'y+3/4,x+3/4,z+1/4'
'-x,y+1/2,-z'
'x,-y+1/2,z'
'y+3/4,x+1/4,-z+3/4'
'-y+3/4,-x+1/4,z+3/4'
loop_
_atom_site_label
_atom_site_type_symbol
_atom_site_fract_x
_atom_site_fract_y
_atom_site_fract_z
Rb1 Rb 0.0000 0.2500 0.0562
Zn1 Zn 0.0000 0.2500 0.1447
Au1 Au 0.0000 0.2500 0.3750
```

- N(E_F): 2.18 states/eV/f.u.
- Energy above the most stable polymorph in this dataset: 7 meV per atom
- Total DFT energy (no corrections): -1.611 eV/atom
- Formation enthalpy at 0 K: -0.3 eV/f.u.
- Total magnetization: 0.00 μB per formula unit


No. 4
This record from Alexandria via LeMat-Bulk describes a relaxed Rb2ZnAu3 crystal. The functional is PBE.

Structure (CIF):
```
data_Rb2ZnAu3
_chemical_formula_sum 'Rb4 Zn2 Au6'
_symmetry_space_group_name_H-M 'P m m a'
_symmetry_Int_Tables_number 51
_cell_length_a 5.7424
_cell_length_b 6.9131
_cell_length_c 8.8561
_cell_angle_alpha 90.00
_cell_angle_beta 90.00
_cell_angle_gamma 90.00
loop_
_symmetry_equiv_pos_as_xyz
'x,y,z'
'-x,-y,-z'
'-x+1/2,-y,z'
'x+1/2,y,-z'
'x+1/2,-y,-z'
'-x+1/2,y,z'
'-x,y,-z'
'x,-y,z'
loop_
_atom_site_label
_atom_site_type_symbol
_atom_site_fract_x
_atom_site_fract_y
_atom_site_fract_z
Rb1 Rb 0.2500 0.0000 0.1221
Rb2 Rb 0.2500 0.5000 0.3611
Zn1 Zn 0.2500 0.5000 0.9049
Au1 Au 0.0000 0.0000 0.5000
Au2 Au 0.2500 0.2100 0.7276
```

- N(E_F): 2.08 states/eV/f.u.
- Energy above the most stable polymorph in this dataset: 0 meV per atom
- Total DFT energy (no corrections): -2.386 eV/atom
- Formation enthalpy at 0 K: -1.3 eV/f.u.
- Total magnetization: 0.00 μB per formula unit


No. 5
This record from Alexandria via LeMat-Bulk describes a relaxed Rb2ZnAu3 crystal. The functional is PBE.

Structure (CIF):
```
data_Rb2ZnAu3
_chemical_formula_sum 'Rb4 Zn2 Au6'
_symmetry_space_group_name_H-M 'I m m m'
_symmetry_Int_Tables_number 71
_symmetry_space_group_name_Hall '-I 2 2'
_cell_length_a 4.5847
_cell_length_b 6.0981
_cell_length_c 13.6467
_cell_angle_alpha 90.00
_cell_angle_beta 90.00
_cell_angle_gamma 90.00
loop_
_atom_site_label
_atom_site_type_symbol
_atom_site_fract_x
_atom_site_fract_y
_atom_site_fract_z
Rb1 Rb 0.0000 0.0000 0.1884
Zn1 Zn 0.0000 0.0000 0.5000
Au1 Au 0.0000 0.5000 0.1021
Au2 Au 0.0000 0.5000 0.5000
```

- N(E_F): 0.67 states/eV/f.u.
- Energy above the most stable polymorph in this dataset: 124 meV per atom
- Total DFT energy (no corrections): -2.262 eV/atom
- Formation enthalpy at 0 K: -0.5 eV/f.u.
- Total magnetization: 0.00 μB per formula unit


No. 6
This record from Alexandria via LeMat-Bulk describes a relaxed RbZn2Au2 crystal. The functional is PBE.

Structure (CIF):
```
data_RbZn2Au2
_chemical_formula_sum 'Rb2 Zn4 Au4'
_symmetry_space_group_name_H-M 'I 4/m m m'
_symmetry_Int_Tables_number 139
_symmetry_space_group_name_Hall '-I 4 2'
_cell_length_a 4.8066
_cell_length_b 4.8066
_cell_length_c 10.2810
_cell_angle_alpha 90.00
_cell_angle_beta 90.00
_cell_angle_gamma 90.00
loop_
_atom_site_label
_atom_site_type_symbol
_atom_site_fract_x
_atom_site_fract_y
_atom_site_fract_z
Rb1 Rb 0.0000 0.0000 0.0000
Zn1 Zn 0.0000 0.0000 0.3683
Au1 Au 0.0000 0.5000 0.2500
```

- N(E_F): 1.58 states/eV/f.u.
- Energy above the most stable polymorph in this dataset: 34 meV per atom
- Total DFT energy (no corrections): -2.184 eV/atom
- Formation enthalpy at 0 K: -0.8 eV/f.u.
- Total magnetization: 0.00 μB per formula unit


No. 7
This record from Alexandria via LeMat-Bulk describes a relaxed Rb2ZnAu crystal. The functional is PBE.

Structure (CIF):
```
data_Rb2ZnAu
_chemical_formula_sum 'Rb8 Zn4 Au4'
_symmetry_space_group_name_H-M 'I -4 2 d'
_symmetry_Int_Tables_number 122
_symmetry_space_group_name_Hall 'I -4 2bw'
_cell_length_a 9.6035
_cell_length_b 9.6035
_cell_length_c 7.4999
_cell_angle_alpha 90.00
_cell_angle_beta 90.00
_cell_angle_gamma 90.00
loop_
_atom_site_label
_atom_site_type_symbol
_atom_site_fract_x
_atom_site_fract_y
_atom_site_fract_z
Rb1 Rb 0.2268 0.2500 0.1250
Zn1 Zn 0.0000 0.0000 0.5000
Au1 Au 0.0000 0.0000 0.0000
```

- N(E_F): 2.48 states/eV/f.u.
- Total DFT energy (no corrections): -1.532 eV/atom
- Formation enthalpy at 0 K: 0.4 eV/f.u.
- Total magnetization: 0.00 μB per formula unit


No. 8
This record from Alexandria via LeMat-Bulk describes a relaxed RbZn4Au4 crystal. The functional is PBE.

Structure (CIF):
```
data_RbZn4Au4
_chemical_formula_sum 'Rb2 Zn8 Au8'
_symmetry_space_group_name_H-M 'I 4/m'
_symmetry_Int_Tables_number 87
_symmetry_space_group_name_Hall '-I 4'
_cell_length_a 9.1848
_cell_length_b 9.1848
_cell_length_c 4.7092
_cell_angle_alpha 90.00
_cell_angle_beta 90.00
_cell_angle_gamma 90.00
loop_
_atom_site_label
_atom_site_type_symbol
_atom_site_fract_x
_atom_site_fract_y
_atom_site_fract_z
Rb1 Rb 0.0000 0.0000 0.0000
Zn1 Zn 0.1010 0.6046 0.5000
Au1 Au 0.1786 0.3033 0.5000
```

- N(E_F): 2.90 states/eV/f.u.
- Total DFT energy (no corrections): -2.378 eV/atom
- Formation enthalpy at 0 K: -2.2 eV/f.u.
- Total magnetization: 0.00 μB per formula unit